(1)
# CuReH | the Alexandria database | PBE | relaxed
data_CuReH
_space_group_name_H-M_alt 'C m c m'
_space_group_IT_number 63
_space_group_name_Hall '-C 2c 2'
_cell_length_a 2.953
_cell_length_b 15.733
_cell_length_c 2.839
_cell_angle_alpha 90.00
_cell_angle_beta 90.00
_cell_angle_gamma 90.00
loop_
_atom_site_label
_atom_site_fract_x
_atom_site_fract_y
_atom_site_fract_z
Cu1 0.000 0.065 0.250
Re1 0.000 0.301 0.250
H1 0.000 0.379 0.750
# Crystal system: orthorhombic
# E, eV per atom: -6.378


(2)
# CuReH2 | the Alexandria database | PBE | relaxed
data_CuReH2
_space_group_name_H-M_alt 'F m -3 m'
_space_group_IT_number 225
_space_group_name_Hall '-F 4 2 3'
_cell_length_a 5.098
_cell_length_b 5.098
_cell_length_c 5.098
_cell_angle_alpha 90.00
_cell_angle_beta 90.00
_cell_angle_gamma 90.00
loop_
_atom_site_label
_atom_site_fract_x
_atom_site_fract_y
_atom_site_fract_z
Cu1 0.000 0.000 0.000
Re1 0.000 0.000 0.500
H1 0.250 0.250 0.250
# ΔE to the lowest computed polymorph, eV/atom: 0.466
# Crystal system: cubic


(3)
# CuReHRh2 | the Alexandria database | PBE | relaxed
data_CuReHRh2
_space_group_name_H-M_alt 'P 4/m m m'
_space_group_IT_number 123
_space_group_name_Hall '-P 4 2'
_cell_length_a 3.894
_cell_length_b 3.894
_cell_length_c 3.868
_cell_angle_alpha 90.00
_cell_angle_beta 90.00
_cell_angle_gamma 90.00
loop_
_atom_site_label
_atom_site_fract_x
_atom_site_fract_y
_atom_site_fract_z
Cu1 0.000 0.000 0.000
Re1 0.500 0.500 0.000
H1 0.500 0.500 0.500
Rh1 0.000 0.500 0.500
# Crystal system: tetragonal
# E, eV per atom: -6.669


(4)
# CuReSiH2 | the Alexandria database | PBE | relaxed
data_CuReSiH2
_space_group_name_H-M_alt 'P 4/m m m'
_space_group_IT_number 123
_space_group_name_Hall '-P 4 2'
_cell_length_a 3.476
_cell_length_b 3.476
_cell_length_c 4.976
_cell_angle_alpha 90.00
_cell_angle_beta 90.00
_cell_angle_gamma 90.00
loop_
_atom_site_label
_atom_site_fract_x
_atom_site_fract_y
_atom_site_fract_z
Cu1 0.000 0.000 0.000
Re1 0.500 0.500 0.000
Si1 0.000 0.000 0.500
H1 0.000 0.500 0.500
# Crystal system: tetragonal
# E, eV per atom: -4.576


What magnetic moment values result from the calculations? In sequence: 0.00 0.00 0.00 2.58 μB/f.u..
What DOS at the Fermi energy values result from the calculations? In sequence: 1.34 2.34 5.87 2.29 states/eV/f.u..